Entry 1:
Density functional theory data (GGA-PBEsol) for InW2Br after structural relaxation.

CIF file:
```
data_InW2Br
_chemical_formula_sum 'In1 W2 Br1'
_cell_length_a 2.9513
_cell_length_b 4.8915
_cell_length_c 5.0818
_cell_angle_alpha 106.19
_cell_angle_beta 90.00
_cell_angle_gamma 90.00
_symmetry_space_group_name_H-M 'P 1'
_symmetry_Int_Tables_number 1
loop_
_symmetry_equiv_pos_as_xyz
'x,y,z'
loop_
_atom_site_label
_atom_site_fract_x
_atom_site_fract_y
_atom_site_fract_z
In1 0.0000 0.5000 0.5000
W1 0.5000 0.0000 0.5000
W2 0.0000 0.0000 0.0000
Br1 0.5000 0.5000 0.0000
```

Calculated values
The calculated volume comes out at 17.6 Å³ per atom. As for the space group: P2/m, No. 10. For the uncorrected formation energy, the calculation gives 0.9917 eV/atom. The calculation puts the energy above the lowest structure with this stoichiometry at 0.514 eV per atom.

***

Entry 2:
Density functional theory data (GGA-PBEsol) for MgPb2Au after structural relaxation.

CIF file:
```
data_MgPb2Au
_chemical_formula_sum 'Mg1 Pb2 Au1'
_cell_length_a 3.3974
_cell_length_b 3.3974
_cell_length_c 8.2608
_cell_angle_alpha 90.00
_cell_angle_beta 90.00
_cell_angle_gamma 90.00
_symmetry_space_group_name_H-M 'P 1'
_symmetry_Int_Tables_number 1
loop_
_symmetry_equiv_pos_as_xyz
'x,y,z'
loop_
_atom_site_label
_atom_site_fract_x
_atom_site_fract_y
_atom_site_fract_z
Mg1 0.5000 0.5000 0.7006
Pb1 0.0000 0.0000 0.9666
Pb2 0.5000 0.5000 0.2955
Au1 0.0000 0.0000 0.5373
```

Calculated values
The calculated volume comes out at 23.8 Å³ per atom. As for the space group: P4mm, No. 99.

***

Entry 3:
Density functional theory data (GGA-PBEsol) for PrI2 after structural relaxation.

CIF file:
```
data_PrI2
_chemical_formula_sum 'Pr4 I8'
_cell_length_a 8.6509
_cell_length_b 8.6509
_cell_length_c 8.6509
_cell_angle_alpha 60.00
_cell_angle_beta 60.00
_cell_angle_gamma 60.00
_symmetry_space_group_name_H-M 'P 1'
_symmetry_Int_Tables_number 1
loop_
_symmetry_equiv_pos_as_xyz
'x,y,z'
loop_
_atom_site_label
_atom_site_fract_x
_atom_site_fract_y
_atom_site_fract_z
I1 0.3894 0.3894 0.3894
I2 0.8318 0.3894 0.3894
I3 0.8723 0.3832 0.8723
I4 0.8723 0.8723 0.8723
I5 0.3894 0.8318 0.3894
I6 0.3832 0.8723 0.8723
I7 0.8723 0.8723 0.3832
I8 0.3894 0.3894 0.8318
Pr1 0.1361 0.1361 0.1361
Pr2 0.1361 0.1361 0.5917
Pr3 0.1361 0.5917 0.1361
Pr4 0.5917 0.1361 0.1361
```

Calculated values
The calculated volume comes out at 38.1 Å³ per atom. As for the space group: F-43m, No. 216. For the uncorrected formation energy, the calculation gives -1.3180 eV/atom.

***

Entry 4:
Density functional theory data (GGA-PBEsol) for SrLiTe after structural relaxation.

CIF file:
```
data_SrLiTe
_chemical_formula_sum 'Sr1 Li1 Te1'
_cell_length_a 5.1660
_cell_length_b 5.1660
_cell_length_c 5.1660
_cell_angle_alpha 60.00
_cell_angle_beta 60.00
_cell_angle_gamma 60.00
_symmetry_space_group_name_H-M 'P 1'
_symmetry_Int_Tables_number 1
loop_
_symmetry_equiv_pos_as_xyz
'x,y,z'
loop_
_atom_site_label
_atom_site_fract_x
_atom_site_fract_y
_atom_site_fract_z
Te1 0.2500 0.2500 0.2500
Sr1 0.5000 0.5000 0.5000
Li1 0.0000 0.0000 0.0000
```

Calculated values
The calculated volume comes out at 32.5 Å³ per atom. As for the space group: F-43m, No. 216. For the uncorrected formation energy, the calculation gives -0.8494 eV/atom.

***

| no. | energy (eV/atom) | D(E_F) (states/eV/cell) |
| --- | --- | --- |
| 1 | -7.125 | 3.64 |
| 2 | -3.610 | 1.63 |
| 3 | -4.224 | 6.52 |
| 4 | -3.294 | 1.81 |